# Sm6GeS2Cl3 (PBE, relaxed)
# Raw formation energy   -1.5357 eV per atom
# Total magnetization   0.00 μB per atom
# Total DFT energy (no corrections)   -5.430 eV/atom
data_Sm6GeS2Cl3
_chemical_formula_sum 'Sm12 Ge2 S4 Cl6'
_cell_length_a 18.0142
_cell_length_b 4.1605
_cell_length_c 8.1509
_cell_angle_alpha 90.00
_cell_angle_beta 104.87
_cell_angle_gamma 90.00
_space_group_name_H-M_alt 'C 1 2/m 1'
_space_group_IT_number 12
loop_
_space_group_symop_operation_xyz
'x,y,z'
'-x,-y,-z'
'-x,y,-z'
'x,-y,z'
'x+1/2,y+1/2,z'
'-x+1/2,-y+1/2,-z'
'-x+1/2,y+1/2,-z'
'x+1/2,-y+1/2,z'
loop_
_atom_site_label
_atom_site_type_symbol
_atom_site_fract_x
_atom_site_fract_y
_atom_site_fract_z
Sm1 Sm 0.0110 0.0000 0.2414
Sm2 Sm 0.1628 0.5000 0.1077
Sm3 Sm 0.1741 0.5000 0.5578
Ge1 Ge 0.0000 0.5000 0.0000
S1 S 0.1694 0.0000 0.3338
Cl1 Cl 0.0000 0.5000 0.5000
Cl2 Cl 0.1622 0.0000 0.8268


# Sm6Ge3S2Cl (PBE, relaxed)
# Raw formation energy   -1.3977 eV per atom
# Total magnetization   0.00 μB per atom
# Total DFT energy (no corrections)   -5.753 eV/atom
data_Sm6Ge3S2Cl
_chemical_formula_sum 'Sm12 Ge6 S4 Cl2'
_cell_length_a 18.0767
_cell_length_b 4.1822
_cell_length_c 8.2948
_cell_angle_alpha 90.00
_cell_angle_beta 102.35
_cell_angle_gamma 90.00
_space_group_name_H-M_alt 'C 1 2/m 1'
_space_group_IT_number 12
loop_
_space_group_symop_operation_xyz
'x,y,z'
'-x,-y,-z'
'-x,y,-z'
'x,-y,z'
'x+1/2,y+1/2,z'
'-x+1/2,-y+1/2,-z'
'-x+1/2,y+1/2,-z'
'x+1/2,-y+1/2,z'
loop_
_atom_site_label
_atom_site_type_symbol
_atom_site_fract_x
_atom_site_fract_y
_atom_site_fract_z
Sm1 Sm 0.0010 0.0000 0.2634
Sm2 Sm 0.1668 0.5000 0.5844
Sm3 Sm 0.1722 0.5000 0.0864
Ge1 Ge 0.0000 0.5000 0.5000
Ge2 Ge 0.1640 0.0000 0.8342
S1 S 0.1670 0.0000 0.3331
Cl1 Cl 0.0000 0.5000 0.0000


# Sm4GeSCl2 (PBE, relaxed)
# Raw formation energy   -1.4726 eV per atom
# Total magnetization   0.00 μB per atom
# Total DFT energy (no corrections)   -5.387 eV/atom
data_Sm4GeSCl2
_chemical_formula_sum 'Sm4 Ge1 S1 Cl2'
_cell_length_a 7.0708
_cell_length_b 4.1579
_cell_length_c 7.2574
_cell_angle_alpha 90.00
_cell_angle_beta 109.82
_cell_angle_gamma 90.00
_space_group_name_H-M_alt 'P 1 2/m 1'
_space_group_IT_number 10
loop_
_space_group_symop_operation_xyz
'x,y,z'
'-x,-y,-z'
'-x,y,-z'
'x,-y,z'
loop_
_atom_site_label
_atom_site_type_symbol
_atom_site_fract_x
_atom_site_fract_y
_atom_site_fract_z
Sm1 Sm 0.2280 0.0000 0.2141
Sm2 Sm 0.2477 0.5000 0.7789
Ge1 Ge 0.5000 0.0000 0.0000
S1 S 0.0000 0.5000 0.0000
Cl1 Cl 0.0000 0.0000 0.5000
Cl2 Cl 0.5000 0.5000 0.5000


# Sm8Ge3S4Cl (PBE, relaxed)
# Raw formation energy   -1.5649 eV per atom
# Total magnetization   0.00 μB per atom
# Total DFT energy (no corrections)   -5.938 eV/atom
data_Sm8Ge3S4Cl
_chemical_formula_sum 'Sm24 Ge9 S12 Cl3'
_cell_length_a 8.2569
_cell_length_b 8.2569
_cell_length_c 20.0980
_cell_angle_alpha 90.00
_cell_angle_beta 90.00
_cell_angle_gamma 120.00
_space_group_name_H-M_alt 'R -3 m'
_space_group_IT_number 166
_space_group_name_Hall '-R 3 2"'
loop_
_atom_site_label
_atom_site_type_symbol
_atom_site_fract_x
_atom_site_fract_y
_atom_site_fract_z
Sm1 Sm 0.0000 0.0000 0.2495
Sm2 Sm 0.0105 0.5052 0.2481
Ge1 Ge 0.0000 0.5000 0.0000
S1 S 0.0000 0.0000 0.5000
S2 S 0.0000 0.5000 0.5000
Cl1 Cl 0.0000 0.0000 0.0000


# SnGeS2Cl (PBE, relaxed)
# Raw formation energy   -0.1324 eV per atom
# Total magnetization   0.00 μB per atom
# Total DFT energy (no corrections)   -3.877 eV/atom
# Energy above the lowest structure with this stoichiometry   0 meV per atom
data_SnGeS2Cl
_chemical_formula_sum 'Sn1 Ge1 S2 Cl1'
_cell_length_a 4.8564
_cell_length_b 4.8564
_cell_length_c 4.8452
_cell_angle_alpha 90.00
_cell_angle_beta 90.00
_cell_angle_gamma 90.00
_space_group_name_H-M_alt 'P 4/m m m'
_space_group_IT_number 123
_space_group_name_Hall '-P 4 2'
loop_
_atom_site_label
_atom_site_type_symbol
_atom_site_fract_x
_atom_site_fract_y
_atom_site_fract_z
Sn1 Sn 0.0000 0.0000 0.0000
Ge1 Ge 0.5000 0.5000 0.5000
S1 S 0.0000 0.5000 0.5000
Cl1 Cl 0.5000 0.5000 0.0000


# SrGeS2Cl (PBE, relaxed)
# Raw formation energy   -0.9956 eV per atom
# Total magnetization   0.00 μB per atom
# Total DFT energy (no corrections)   -4.276 eV/atom
# Energy above the lowest structure with this stoichiometry   0 meV per atom
data_SrGeS2Cl
_chemical_formula_sum 'Sr1 Ge1 S2 Cl1'
_cell_length_a 4.8765
_cell_length_b 4.8765
_cell_length_c 4.9732
_cell_angle_alpha 90.00
_cell_angle_beta 90.00
_cell_angle_gamma 90.00
_space_group_name_H-M_alt 'P 4/m m m'
_space_group_IT_number 123
_space_group_name_Hall '-P 4 2'
loop_
_atom_site_label
_atom_site_type_symbol
_atom_site_fract_x
_atom_site_fract_y
_atom_site_fract_z
Sr1 Sr 0.0000 0.0000 0.0000
Ge1 Ge 0.5000 0.5000 0.5000
S1 S 0.0000 0.5000 0.5000
Cl1 Cl 0.5000 0.5000 0.0000


# SrGeS2Cl (PBE, relaxed)
# Raw formation energy   -0.0882 eV per atom
# Total magnetization   0.20 μB per atom
# Total DFT energy (no corrections)   -3.368 eV/atom
# Energy above the lowest structure with this stoichiometry   907 meV per atom
data_SrGeS2Cl
_chemical_formula_sum 'Sr1 Ge1 S2 Cl1'
_cell_length_a 5.5534
_cell_length_b 5.5534
_cell_length_c 5.3567
_cell_angle_alpha 90.00
_cell_angle_beta 90.00
_cell_angle_gamma 90.00
_space_group_name_H-M_alt 'P 4/m m m'
_space_group_IT_number 123
_space_group_name_Hall '-P 4 2'
loop_
_atom_site_label
_atom_site_type_symbol
_atom_site_fract_x
_atom_site_fract_y
_atom_site_fract_z
Sr1 Sr 0.0000 0.0000 0.0000
Ge1 Ge 0.5000 0.5000 0.5000
S1 S 0.0000 0.5000 0.0000
Cl1 Cl 0.0000 0.0000 0.5000


# TaGeSCl2 (PBE, relaxed)
# Raw formation energy   -0.0959 eV per atom
# Total magnetization   0.25 μB per atom
# Total DFT energy (no corrections)   -4.954 eV/atom
# Energy above the lowest structure with this stoichiometry   0 meV per atom
data_TaGeSCl2
_chemical_formula_sum 'Ta1 Ge1 S1 Cl2'
_cell_length_a 4.8503
_cell_length_b 4.8503
_cell_length_c 4.8374
_cell_angle_alpha 90.00
_cell_angle_beta 90.00
_cell_angle_gamma 90.00
_space_group_name_H-M_alt 'P 4/m m m'
_space_group_IT_number 123
_space_group_name_Hall '-P 4 2'
loop_
_atom_site_label
_atom_site_type_symbol
_atom_site_fract_x
_atom_site_fract_y
_atom_site_fract_z
Ta1 Ta 0.0000 0.0000 0.0000
Ge1 Ge 0.5000 0.5000 0.5000
S1 S 0.0000 0.0000 0.5000
Cl1 Cl 0.0000 0.5000 0.0000


# TaGeS2Cl (PBE, relaxed)
# Raw formation energy   -0.1626 eV per atom
# Total magnetization   0.08 μB per atom
# Total DFT energy (no corrections)   -5.477 eV/atom
# Energy above the lowest structure with this stoichiometry   0 meV per atom
data_TaGeS2Cl
_chemical_formula_sum 'Ta1 Ge1 S2 Cl1'
_cell_length_a 4.8242
_cell_length_b 4.8242
_cell_length_c 4.7767
_cell_angle_alpha 90.00
_cell_angle_beta 90.00
_cell_angle_gamma 90.00
_space_group_name_H-M_alt 'P 4/m m m'
_space_group_IT_number 123
_space_group_name_Hall '-P 4 2'
loop_
_atom_site_label
_atom_site_type_symbol
_atom_site_fract_x
_atom_site_fract_y
_atom_site_fract_z
Ta1 Ta 0.0000 0.0000 0.0000
Ge1 Ge 0.5000 0.5000 0.5000
S1 S 0.0000 0.5000 0.0000
Cl1 Cl 0.0000 0.0000 0.5000


# TaGeSCl2 (PBE, relaxed)
# Raw formation energy   0.7286 eV per atom
# Total magnetization   0.65 μB per atom
# Total DFT energy (no corrections)   -4.130 eV/atom
# Energy above the lowest structure with this stoichiometry   824 meV per atom
data_TaGeSCl2
_chemical_formula_sum 'Ta1 Ge1 S1 Cl2'
_cell_length_a 4.8224
_cell_length_b 4.8224
_cell_length_c 5.0417
_cell_angle_alpha 90.00
_cell_angle_beta 90.00
_cell_angle_gamma 90.00
_space_group_name_H-M_alt 'P 4/m m m'
_space_group_IT_number 123
_space_group_name_Hall '-P 4 2'
loop_
_atom_site_label
_atom_site_type_symbol
_atom_site_fract_x
_atom_site_fract_y
_atom_site_fract_z
Ta1 Ta 0.0000 0.0000 0.0000
Ge1 Ge 0.5000 0.5000 0.5000
S1 S 0.5000 0.5000 0.0000
Cl1 Cl 0.0000 0.5000 0.5000


# TaGeS2Cl (PBE, relaxed)
# Raw formation energy   0.7339 eV per atom
# Total magnetization   0.54 μB per atom
# Total DFT energy (no corrections)   -4.580 eV/atom
# Energy above the lowest structure with this stoichiometry   896 meV per atom
data_TaGeS2Cl
_chemical_formula_sum 'Ta1 Ge1 S2 Cl1'
_cell_length_a 4.7342
_cell_length_b 4.7342
_cell_length_c 4.6248
_cell_angle_alpha 90.00
_cell_angle_beta 90.00
_cell_angle_gamma 90.00
_space_group_name_H-M_alt 'P 4/m m m'
_space_group_IT_number 123
_space_group_name_Hall '-P 4 2'
loop_
_atom_site_label
_atom_site_type_symbol
_atom_site_fract_x
_atom_site_fract_y
_atom_site_fract_z
Ta1 Ta 0.0000 0.0000 0.0000
Ge1 Ge 0.5000 0.5000 0.5000
S1 S 0.0000 0.5000 0.5000
Cl1 Cl 0.5000 0.5000 0.0000


# Tb4GeS2Cl (PBE, relaxed)
# Raw formation energy   -1.6013 eV per atom
# Total magnetization   0.00 μB per atom
# Total DFT energy (no corrections)   -5.756 eV/atom
data_Tb4GeS2Cl
_chemical_formula_sum 'Tb4 Ge1 S2 Cl1'
_cell_length_a 6.9689
_cell_length_b 4.0029
_cell_length_c 6.9693
_cell_angle_alpha 90.00
_cell_angle_beta 109.08
_cell_angle_gamma 90.00
_space_group_name_H-M_alt 'P 1 2/m 1'
_space_group_IT_number 10
loop_
_space_group_symop_operation_xyz
'x,y,z'
'-x,-y,-z'
'-x,y,-z'
'x,-y,z'
loop_
_atom_site_label
_atom_site_type_symbol
_atom_site_fract_x
_atom_site_fract_y
_atom_site_fract_z
Tb1 Tb 0.2262 0.0000 0.2268
Tb2 Tb 0.2406 0.5000 0.7614
Ge1 Ge 0.0000 0.0000 0.5000
S1 S 0.0000 0.5000 0.0000
S2 S 0.5000 0.0000 0.0000
Cl1 Cl 0.5000 0.5000 0.5000


What theoretical density values result from the calculations? In sequence: 6.44; 6.61; 6.43; 6.65; 4.23; 3.65; 2.61; 5.20; 5.28; 5.05; 5.66; 7.30 g/cm³.